(1)
Compound: BaNi4P2
Source: Alexandria via LeMat-Bulk
Functional: PBE-GGA
Structure: optimized geometry

The calculation puts the total DFT energy (no corrections) at -77.1 eV for the cell shown. The value obtained for the energy of formation from the pure elements is -0.385 eV/atom.

It has space group P4_2/mnm (No. 136), with a = 7.7582 Å, b = 7.7582 Å, c = 3.4640 Å, α = 90.00°, β = 90.00° and γ = 90.00°. Symmetry generates all atoms from Ba at (0.0000, 0.0000, 0.0000), Ni at (0.0902, 0.3457, 0.5000) and P at (0.2278, 0.7722, 0.5000).

***

(2)
Compound: BaNi9P4
Source: Alexandria via LeMat-Bulk
Functional: PBE-GGA
Structure: optimized geometry

The calculation puts the total DFT energy (no corrections) at -324.2 eV for the cell shown. The value obtained for the energy of formation from the pure elements is -0.389 eV/atom.

It has space group I4/mcm (No. 140), with a = 7.8604 Å, b = 7.8604 Å, c = 11.5312 Å, α = 90.00°, β = 90.00° and γ = 90.00°. Symmetry generates all atoms from Ba at (0.0000, 0.0000, 0.2500), Ni at (0.0000, 0.5000, 0.0000), Ni at (0.0788, 0.2029, 0.0000), Ni at (0.1334, 0.3666, 0.1883) and P at (0.1669, 0.3331, 0.3806).

***

(3)
Compound: BaNi2P
Source: Alexandria via LeMat-Bulk
Functional: PBE-GGA
Structure: optimized geometry

The calculation puts the total DFT energy (no corrections) at -83.8 eV for the cell shown. The value obtained for the energy of formation from the pure elements is -0.511 eV/atom.

It has space group Pnma (No. 62), with a = 7.2163 Å, b = 4.1760 Å, c = 10.5817 Å, α = 90.00°, β = 90.00° and γ = 90.00°. Symmetry generates all atoms from Ba at (0.1494, 0.2500, 0.1213), Ni at (0.0703, 0.2500, 0.4444), Ni at (0.1637, 0.2500, 0.7940) and P at (0.0483, 0.7500, 0.3586).

***

(4)
Compound: BaNi2P
Source: Alexandria via LeMat-Bulk
Functional: PBE-GGA
Structure: optimized geometry

The calculation puts the total DFT energy (no corrections) at -38.4 eV for the cell shown. The value obtained for the energy of formation from the pure elements is -0.082 eV/atom.

It has space group Immm (No. 71), with a = 3.5966 Å, b = 6.0558 Å, c = 7.9417 Å, α = 90.00°, β = 90.00° and γ = 90.00°. Symmetry generates all atoms from Ba at (0.0000, 0.0000, 0.0000), Ni at (0.0000, 0.5000, 0.1546) and P at (0.0000, 0.0000, 0.5000).

***

(5)
Compound: BaPaNi2P2
Source: Alexandria via LeMat-Bulk
Functional: PBE-GGA
Structure: optimized geometry

The calculation puts the total DFT energy (no corrections) at -39.7 eV for the cell shown. The value obtained for the energy of formation from the pure elements is -0.977 eV/atom.

It has space group P-3m1 (No. 164), with a = 3.9898 Å, b = 3.9898 Å, c = 8.5390 Å, α = 90.00°, β = 90.00° and γ = 120.00°. Symmetry generates all atoms from Ba at (0.0000, 0.0000, 0.0000), Pa at (0.0000, 0.0000, 0.5000), Ni at (0.3333, 0.6667, 0.6988) and P at (0.3333, 0.6667, 0.2820).

***

(6)
Compound: BaNiPPb
Source: Alexandria via LeMat-Bulk
Functional: PBE-GGA
Structure: optimized geometry

The calculation puts the total DFT energy (no corrections) at -37.8 eV for the cell shown. The value obtained for the energy of formation from the pure elements is -0.522 eV/atom.

It has space group P4/nmm (No. 129, origin choice 2), with a = 4.2340 Å, b = 4.2340 Å, c = 11.8051 Å, α = 90.00°, β = 90.00° and γ = 90.00°. Symmetry generates all atoms from Ba at (0.2500, 0.2500, 0.2199), Ni at (0.2500, 0.7500, 0.0000), P at (0.2500, 0.2500, 0.9168) and Pb at (0.2500, 0.7500, 0.5000).

***

(7)
Compound: BaNiPPb2
Source: Alexandria via LeMat-Bulk
Functional: PBE-GGA
Structure: optimized geometry

The calculation puts the total DFT energy (no corrections) at -18.1 eV for the cell shown. The value obtained for the energy of formation from the pure elements is 0.494 eV/atom.

It has space group P4/mmm (No. 123), with a = 5.4316 Å, b = 5.4316 Å, c = 6.0341 Å, α = 90.00°, β = 90.00° and γ = 90.00°. Symmetry generates all atoms from Ba at (0.0000, 0.0000, 0.0000), Ni at (0.5000, 0.5000, 0.0000), P at (0.0000, 0.0000, 0.5000) and Pb at (0.0000, 0.5000, 0.5000).

***

(8)
Compound: BaNi2P6Pd
Source: Alexandria via LeMat-Bulk
Functional: PBE-GGA
Structure: optimized geometry

The calculation puts the total DFT energy (no corrections) at -160.5 eV for the cell shown. The value obtained for the energy of formation from the pure elements is -0.235 eV/atom.

It has space group R-3m (No. 166, hexagonal axes), with a = 5.7984 Å, b = 5.7984 Å, c = 24.2654 Å, α = 90.00°, β = 90.00° and γ = 120.00°. Symmetry generates all atoms from Ba at (0.0000, 0.0000, 0.0000), Ni at (0.0000, 0.0000, 0.2686), P at (0.0780, 0.5390, 0.0819) and Pd at (0.0000, 0.0000, 0.5000).

***

(9)
Compound: BaPmNi2P2
Source: Alexandria via LeMat-Bulk
Functional: PBE-GGA
Structure: optimized geometry

The calculation puts the total DFT energy (no corrections) at -34.9 eV for the cell shown. The value obtained for the energy of formation from the pure elements is -0.974 eV/atom.

It has space group P-3m1 (No. 164), with a = 3.9853 Å, b = 3.9853 Å, c = 8.7928 Å, α = 90.00°, β = 90.00° and γ = 120.00°. Symmetry generates all atoms from Ba at (0.0000, 0.0000, 0.0000), Pm at (0.0000, 0.0000, 0.5000), Ni at (0.3333, 0.6667, 0.7257) and P at (0.3333, 0.6667, 0.2774).

***

(10)
Compound: BaPrNi2P2
Source: Alexandria via LeMat-Bulk
Functional: PBE-GGA
Structure: optimized geometry

The calculation puts the total DFT energy (no corrections) at -34.8 eV for the cell shown. The value obtained for the energy of formation from the pure elements is -0.953 eV/atom.

It has space group P-3m1 (No. 164), with a = 4.0025 Å, b = 4.0025 Å, c = 8.8804 Å, α = 90.00°, β = 90.00° and γ = 120.00°. Symmetry generates all atoms from Ba at (0.0000, 0.0000, 0.0000), Pr at (0.0000, 0.0000, 0.5000), Ni at (0.3333, 0.6667, 0.2713) and P at (0.3333, 0.6667, 0.7264).

***

(11)
Compound: Ba2NiP3Pt12
Source: Alexandria via LeMat-Bulk
Functional: PBE-GGA
Structure: optimized geometry

The calculation puts the total DFT energy (no corrections) at -311.5 eV for the cell shown. The value obtained for the energy of formation from the pure elements is -0.305 eV/atom.

It has space group R-3m (No. 166, hexagonal axes), with a = 8.3021 Å, b = 8.3021 Å, c = 18.7847 Å, α = 90.00°, β = 90.00° and γ = 120.00°. Symmetry generates all atoms from Ba at (0.0000, 0.0000, 0.1177), Ni at (0.0000, 0.0000, 0.5000), P at (0.0000, 0.5000, 0.0000), Pt at (0.0228, 0.5114, 0.1197) and Pt at (0.0474, 0.5237, 0.3612).

***

(12)
Compound: BaNiPPt
Source: Alexandria via LeMat-Bulk
Functional: PBE-GGA
Structure: optimized geometry

The calculation puts the total DFT energy (no corrections) at -43.6 eV for the cell shown. The value obtained for the energy of formation from the pure elements is -0.656 eV/atom.

It has space group P4/nmm (No. 129, origin choice 2), with a = 3.8893 Å, b = 3.8893 Å, c = 11.2835 Å, α = 90.00°, β = 90.00° and γ = 90.00°. Symmetry generates all atoms from Ba at (0.2500, 0.2500, 0.2340), Ni at (0.2500, 0.7500, 0.5000), P at (0.2500, 0.2500, 0.6004) and Pt at (0.2500, 0.7500, 0.0000).

***

(13)
Compound: BaPuNi2P2
Source: Alexandria via LeMat-Bulk
Functional: PBE-GGA
Structure: optimized geometry

The calculation puts the total DFT energy (no corrections) at -43.7 eV for the cell shown. The value obtained for the energy of formation from the pure elements is -0.848 eV/atom.

It has space group P-3m1 (No. 164), with a = 3.9772 Å, b = 3.9772 Å, c = 8.5843 Å, α = 90.00°, β = 90.00° and γ = 120.00°. Symmetry generates all atoms from Ba at (0.0000, 0.0000, 0.0000), Pu at (0.0000, 0.0000, 0.5000), Ni at (0.3333, 0.6667, 0.7182) and P at (0.3333, 0.6667, 0.2860).

***

(14)
Compound: BaPuNiP2
Source: Alexandria via LeMat-Bulk
Functional: PBE-GGA
Structure: optimized geometry

The calculation puts the total DFT energy (no corrections) at -72.1 eV for the cell shown. The value obtained for the energy of formation from the pure elements is -0.636 eV/atom.

It has space group I-4m2 (No. 119), with a = 4.2386 Å, b = 4.2386 Å, c = 13.4257 Å, α = 90.00°, β = 90.00° and γ = 90.00°. Symmetry generates all atoms from Ba at (0.0000, 0.0000, 0.0000), Pu at (0.0000, 0.5000, 0.2500), Ni at (0.0000, 0.5000, 0.7500) and P at (0.0000, 0.0000, 0.3651).

***

(15)
Compound: BaNiP2Rh
Source: Alexandria via LeMat-Bulk
Functional: PBE-GGA
Structure: optimized geometry

The calculation puts the total DFT energy (no corrections) at -119.1 eV for the cell shown. The energy above the most stable polymorph in this dataset is 0.0000 eV per atom. The value obtained for the energy of formation from the pure elements is -0.782 eV/atom.

It has space group C2/m (No. 12), with a = 11.9688 Å, b = 3.9893 Å, c = 8.9338 Å, α = 90.00°, β = 99.22° and γ = 90.00°. Symmetry generates all atoms from Ba at (0.1537, 0.0000, 0.1655), Ni at (0.1844, 0.0000, 0.5652), P at (0.1230, 0.0000, 0.7914), P at (0.1321, 0.5000, 0.4485) and Rh at (0.0572, 0.5000, 0.6710).

***

(16)
Compound: BaNiP2Rh
Source: Alexandria via LeMat-Bulk
Functional: PBE-GGA
Structure: optimized geometry

The calculation puts the total DFT energy (no corrections) at -15.3 eV for the cell shown. The energy above the most stable polymorph in this dataset is 2.8899 eV per atom. The value obtained for the energy of formation from the pure elements is 2.108 eV/atom.

It has space group P4/mmm (No. 123), with a = 5.4376 Å, b = 5.4376 Å, c = 4.8423 Å, α = 90.00°, β = 90.00° and γ = 90.00°. Symmetry generates all atoms from Ba at (0.0000, 0.0000, 0.0000), Ni at (0.0000, 0.0000, 0.5000), P at (0.0000, 0.5000, 0.0000) and Rh at (0.5000, 0.5000, 0.5000).

***

(17)
Compound: BaNi2PRu
Source: Alexandria via LeMat-Bulk
Functional: PBE-GGA
Structure: optimized geometry

The calculation puts the total DFT energy (no corrections) at -16.8 eV for the cell shown. The value obtained for the energy of formation from the pure elements is 2.277 eV/atom.

It has space group P4/mmm (No. 123), with a = 4.8038 Å, b = 4.8038 Å, c = 5.0965 Å, α = 90.00°, β = 90.00° and γ = 90.00°. Symmetry generates all atoms from Ba at (0.0000, 0.0000, 0.0000), Ni at (0.0000, 0.5000, 0.0000), P at (0.5000, 0.5000, 0.5000) and Ru at (0.0000, 0.0000, 0.5000).

***

(18)
Compound: BaNi3P4S12
Source: Alexandria via LeMat-Bulk
Functional: PBE-GGA
Structure: optimized geometry

The calculation puts the total DFT energy (no corrections) at -283.9 eV for the cell shown.

It has space group R32 (No. 155, hexagonal axes), with a = 12.4581 Å, b = 12.4581 Å, c = 9.6335 Å, α = 90.00°, β = 90.00° and γ = 120.00°. Symmetry generates all atoms from Ba at (0.0000, 0.0000, 0.0000), Ni at (0.0000, 0.5640, 0.0000), P at (0.0000, 0.0000, 0.5000), P at (0.0000, 0.4393, 0.5000), S at (0.0000, 0.6043, 0.5000), S at (0.0000, 0.8366, 0.5000) and S at (0.0533, 0.2272, 0.1884).

***

(19)
Compound: BaNiP2S
Source: Alexandria via LeMat-Bulk
Functional: PBE-GGA
Structure: optimized geometry

The calculation puts the total DFT energy (no corrections) at -14.3 eV for the cell shown. The energy above the most stable polymorph in this dataset is 2.0189 eV per atom.

It has space group P4/mmm (No. 123), with a = 6.0027 Å, b = 6.0027 Å, c = 5.7297 Å, α = 90.00°, β = 90.00° and γ = 90.00°. Symmetry generates all atoms from Ba at (0.0000, 0.0000, 0.0000), Ni at (0.5000, 0.5000, 0.5000), P at (0.0000, 0.5000, 0.0000) and S at (0.0000, 0.0000, 0.5000).

***

(20)
Compound: BaNiP2S8
Source: Alexandria via LeMat-Bulk
Functional: PBE-GGA
Structure: optimized geometry

The calculation puts the total DFT energy (no corrections) at -57.3 eV for the cell shown.

It has space group P-3 (No. 147), with a = 5.8558 Å, b = 5.8558 Å, c = 8.7824 Å, α = 90.00°, β = 90.00° and γ = 120.00°. Symmetry generates all atoms from Ba at (0.0000, 0.0000, 0.0000), Ni at (0.0000, 0.0000, 0.5000), P at (0.3333, 0.6667, 0.7180), S at (0.0028, 0.6921, 0.3365) and S at (0.3333, 0.6667, 0.9480).